Record 1
The following is a PBE-GGA calculation of a relaxed structure of LaPbBr2, from the Alexandria database.

abc: 4.9409 4.9409 4.8127
angles: 90.00 90.00 90.00
With the nearest neighbours (Å) after each atom.
Space group P4/mmm (No. 123)
Symmetry-distinct sites (fractional):
La 0.0000 0.0000 0.0000 [1 per cell]  8 Br 3.45, 4 Pb 3.49
Pb 0.5000 0.5000 0.0000 [1 per cell]  8 Br 3.45, 4 La 3.49
Br 0.0000 0.5000 0.5000 [2 per cell]  4 Pb 3.45, 4 La 3.45, 4 Br 3.49

=====

Record 2
The following is a PBE-GGA calculation of a relaxed structure of LaPbBr2, from the Alexandria database.

abc: 4.9221 4.9221 9.6731
angles: 90.00 90.00 90.00
With the nearest neighbours (Å) after each atom.
Space group I4/mmm (No. 139)
Symmetry-distinct sites (fractional):
La 0.0000 0.0000 0.0000 [2 per cell]  8 Br 3.45, 4 Pb 3.48
Pb 0.0000 0.0000 0.5000 [2 per cell]  8 Br 3.45, 4 La 3.48
Br 0.0000 0.5000 0.2500 [4 per cell]  4 La 3.45, 4 Pb 3.45, 4 Br 3.48

=====

Record 3
The following is a PBE-GGA calculation of a relaxed structure of La2PbBr, from the Alexandria database.

abc: 7.8754 7.8754 7.8754
angles: 90.00 90.00 90.00
With the nearest neighbours (Å) after each atom.
Space group Fm-3m (No. 225)
Symmetry-distinct sites (fractional):
La 0.2500 0.2500 0.2500 [8 per cell]  4 Pb 3.41, 4 Br 3.41
Pb 0.0000 0.0000 0.0000 [4 per cell]  8 La 3.41
Br 0.0000 0.0000 0.5000 [4 per cell]  8 La 3.41

=====

For the records above, the corresponding ΔE to the lowest computed polymorph values read 0.2073; 0.1891; 0.1091 eV per atom.